# SmMnH6 | the Alexandria database | PBE | relaxed
# Calculated total energy   -4.21 eV per atom
# ρ   3.35 g/cm³
# Crystal system   cubic
data_SmMnH6
_cell_length_a 7.4830
_cell_length_b 7.4830
_cell_length_c 7.4830
_cell_angle_alpha 90.00
_cell_angle_beta 90.00
_cell_angle_gamma 90.00
_symmetry_space_group_name_H-M 'F m -3 m'
_symmetry_Int_Tables_number 225
_symmetry_space_group_name_Hall '-F 4 2 3'
loop_
_atom_site_label
_atom_site_type_symbol
_atom_site_fract_x
_atom_site_fract_y
_atom_site_fract_z
_atom_site_occupancy
Sm1 Sm 0.0000 0.0000 0.0000 1
Mn1 Mn 0.0000 0.0000 0.5000 1
H1 H 0.0000 0.0000 0.2856 1

---

# Mn5Sn3H12 | the Alexandria database | PBE | relaxed
# Calculated total energy   -4.60 eV per atom
# ρ   6.29 g/cm³
# Crystal system   cubic
data_Mn5Sn3H12
_cell_length_a 11.0757
_cell_length_b 11.0757
_cell_length_c 11.0757
_cell_angle_alpha 90.00
_cell_angle_beta 90.00
_cell_angle_gamma 90.00
_symmetry_space_group_name_H-M 'I a -3 d'
_symmetry_Int_Tables_number 230
_symmetry_space_group_name_Hall '-I 4bd 2c 3'
loop_
_atom_site_label
_atom_site_type_symbol
_atom_site_fract_x
_atom_site_fract_y
_atom_site_fract_z
_atom_site_occupancy
Mn1 Mn 0.0000 0.0000 0.0000 1
Mn2 Mn 0.0000 0.2500 0.3750 1
Sn1 Sn 0.0000 0.2500 0.1250 1
H1 H 0.0380 0.0806 0.8734 1

---

# MnSnH2 | the Alexandria database | PBE | relaxed
# Calculated total energy   -3.94 eV per atom
# ρ   7.32 g/cm³
# Crystal system   cubic
data_MnSnH2
_cell_length_a 5.4217
_cell_length_b 5.4217
_cell_length_c 5.4217
_cell_angle_alpha 90.00
_cell_angle_beta 90.00
_cell_angle_gamma 90.00
_symmetry_space_group_name_H-M 'F m -3 m'
_symmetry_Int_Tables_number 225
_symmetry_space_group_name_Hall '-F 4 2 3'
loop_
_atom_site_label
_atom_site_type_symbol
_atom_site_fract_x
_atom_site_fract_y
_atom_site_fract_z
_atom_site_occupancy
Mn1 Mn 0.0000 0.0000 0.0000 1
Sn1 Sn 0.0000 0.0000 0.5000 1
H1 H 0.2500 0.2500 0.2500 1

---

# Mn2SnH | the Alexandria database | PBE | relaxed
# ρ   7.98 g/cm³
# Crystal system   trigonal
# E above lowest polymorph   0.0 meV/atom
data_Mn2SnH
_cell_length_a 3.0100
_cell_length_b 3.0100
_cell_length_c 18.2628
_cell_angle_alpha 90.00
_cell_angle_beta 90.00
_cell_angle_gamma 120.00
_symmetry_space_group_name_H-M 'R -3 m'
_symmetry_Int_Tables_number 166
_symmetry_space_group_name_Hall '-R 3 2"'
loop_
_atom_site_label
_atom_site_type_symbol
_atom_site_fract_x
_atom_site_fract_y
_atom_site_fract_z
_atom_site_occupancy
Mn1 Mn 0.0000 0.0000 0.2134 1
Sn1 Sn 0.0000 0.0000 0.0000 1
H1 H 0.0000 0.0000 0.5000 1